# K2RbV3F12

A relaxed structure of K2RbV3F12 (GGA+U, the Alexandria database).

Computed properties:
electronic total energy: -100.26 eV/cell

a b c (Å): 7.4918 7.4918 7.4918
angles (deg): 61.20 61.20 61.20
Positions (direct):
F1 0.5487 0.1306 0.1306
K1 0.6282 0.6282 0.6282
Rb1 0.0000 0.0000 0.0000
F2 0.7229 0.7229 0.1066
V1 0.5000 0.0000 0.0000
F3 0.1306 0.1306 0.5487
F4 0.8694 0.4513 0.8694
F5 0.7229 0.1066 0.7229
F6 0.2771 0.2771 0.8934
F7 0.8694 0.8694 0.4513
F8 0.8934 0.2771 0.2771
F9 0.1306 0.5487 0.1306
F10 0.4513 0.8694 0.8694
F11 0.1066 0.7229 0.7229
F12 0.2771 0.8934 0.2771
K2 0.3718 0.3718 0.3718
V2 0.0000 0.5000 0.0000
V3 0.0000 0.0000 0.5000